(1)
Compound: YMg2OsPb
Source: the Alexandria database
Functional: PBE-GGA
Structure: optimized geometry

Output
The formation enthalpy at 0 K is 2.0559 eV/atom.

a b c (Å): 5.6565 5.6565 5.7021
angles (deg): 90.00 90.00 90.00
Atoms (fractional coordinates):
Y: 0.0000 0.0000 0.0000
Mg: 0.0000 0.5000 0.0000
Mg: 0.5000 0.0000 0.0000
Os: 0.5000 0.5000 0.5000
Pb: 0.0000 0.0000 0.5000

(2)
Compound: Cs3K6S
Source: the Alexandria database
Functional: PBE-GGA
Structure: optimized geometry

Output
The calculation puts the uncorrected formation energy at -0.25 eV/atom.

a b c (Å): 13.7731 13.7731 12.9574
angles (deg): 90.00 90.00 137.58
Atoms (fractional coordinates):
Cs: 0.0395 0.9605 0.5000
Cs: 0.1372 0.3785 0.3163
Cs: 0.3785 0.1372 0.8163
Cs: 0.6215 0.8628 0.3163
Cs: 0.8628 0.6215 0.8163
Cs: 0.9605 0.0395 0.0000
K: 0.0837 0.4793 0.9409
K: 0.1998 0.3654 0.6936
K: 0.2757 0.7243 0.6551
K: 0.3654 0.1998 0.1936
K: 0.4530 0.5470 0.9763
K: 0.4793 0.0837 0.4409
K: 0.5207 0.9163 0.9409
K: 0.5470 0.4530 0.4763
K: 0.6346 0.8002 0.6936
K: 0.7243 0.2757 0.1551
K: 0.8002 0.6346 0.1936
K: 0.9163 0.5207 0.4409
S: 0.3610 0.6390 0.8216
S: 0.6390 0.3610 0.3216

(3)
Compound: Ac4CePr
Source: the Alexandria database
Functional: PBE-GGA
Structure: optimized geometry

Output
The formation enthalpy at 0 K is 0.3902 eV/atom.

a b c (Å): 7.1880 7.1880 7.1880
angles (deg): 60.00 60.00 60.00
Atoms (fractional coordinates):
Ac: 0.1250 0.1250 0.1250
Ac: 0.1250 0.1250 0.6250
Ac: 0.1250 0.6250 0.1250
Ac: 0.6250 0.1250 0.1250
Ce: 0.7500 0.7500 0.7500
Pr: 0.5000 0.5000 0.5000

For each record above, in turn, the calculated total magnetic moment values are 0.605 0.000 0.271 μB/atom.